(1)
A plane-wave DFT calculation with PBE-GGA was carried out for Y3Ag2Hg after structural relaxation.

- space-group type = P4/mmm (123)

Cell and atoms, written as POSCAR:
```
Y3Ag2Hg
1.0
3.682 0.000 0.000
0.000 3.682 0.000
0.000 0.000 10.967
Y Hg Ag
3 1 2
Cartesian
0.000 0.000 7.358
0.000 0.000 0.000
0.000 0.000 3.610
1.841 1.841 5.484
1.841 1.841 9.158
1.841 1.841 1.809
```

(2)
A plane-wave DFT calculation with PBE-GGA was carried out for YAgHg3 after structural relaxation.

- polymorph energy (0 for the lowest one) (meV/atom) = 35.0
- space-group type = Pnma (62)

Cell and atoms, written as POSCAR:
```
YAgHg3
1.0
4.924 0.000 0.000
0.000 9.667 0.000
0.000 0.000 9.917
Hg Ag Y
12 4 4
Cartesian
3.693 4.272 8.844
3.693 1.396 8.189
1.231 4.130 6.210
3.693 0.704 1.251
1.231 8.963 8.666
1.231 3.437 3.230
3.693 6.229 6.687
1.231 0.561 3.886
1.231 5.395 1.073
3.693 9.105 6.031
3.693 5.537 3.707
1.231 8.271 1.728
3.693 3.530 1.709
1.231 6.136 8.208
1.231 1.303 6.667
3.693 8.364 3.250
3.693 2.441 4.936
1.231 7.225 4.982
3.693 7.275 0.023
1.231 2.392 9.894
```

(3)
A plane-wave DFT calculation with PBE-GGA was carried out for Y2Ag2Hg after structural relaxation.

- polymorph energy (0 for the lowest one) (meV/atom) = 59.1
- space-group type = P4/mbm (127)

Cell and atoms, written as POSCAR:
```
Y2Ag2Hg
1.0
-6.129 3.870 -3.096
-4.444 -2.113 6.157
1.078 3.212 1.880
Hg Ag Y
2 4 4
Cartesian
-5.286 0.878 1.531
0.000 0.000 0.000
-4.392 2.155 -1.163
-6.180 -0.399 4.225
-2.434 -0.305 1.916
-8.139 2.062 1.145
-3.520 0.855 4.551
-2.233 2.501 1.000
-5.975 4.114 0.391
-7.262 2.467 3.942
```

(4)
A plane-wave DFT calculation with PBE-GGA was carried out for YAg2Hg after structural relaxation.

- space-group type = C2/m (12)

Cell and atoms, written as POSCAR:
```
YAg2Hg
1.0
6.040 0.005 -0.024
-3.010 5.237 -0.024
0.814 1.408 2.871
Ag Hg Y
2 1 1
Cartesian
0.000 0.000 0.000
1.515 2.621 -0.024
3.427 0.706 1.424
-1.098 3.322 1.424
```

(5)
A plane-wave DFT calculation with PBE-GGA was carried out for Y3AgHg after structural relaxation.

- polymorph energy (0 for the lowest one) (meV/atom) = 555.8
- space-group type = Pm-3m (221)

Cell and atoms, written as POSCAR:
```
Y3AgHg
1.0
5.514 0.000 0.000
0.000 5.514 0.000
0.000 0.000 5.514
Ag Y Hg
1 3 1
Cartesian
0.000 0.000 0.000
0.000 2.757 0.000
0.000 0.000 2.757
2.757 0.000 0.000
2.757 2.757 2.757
```

(6)
A plane-wave DFT calculation with PBE-GGA was carried out for Y2AgHg after structural relaxation.

- space-group type = C2/m (12)

Cell and atoms, written as POSCAR:
```
Y2AgHg
1.0
4.829 -0.031 0.020
3.327 3.501 0.020
1.535 0.653 6.503
Ag Hg Y
1 1 2
Cartesian
7.268 3.092 4.907
2.423 1.031 1.636
1.562 0.665 6.463
4.819 2.050 3.312
```

(7)
A plane-wave DFT calculation with PBE-GGA was carried out for YAg2Hg after structural relaxation.

- space-group type = Pmm2 (25)

Cell and atoms, written as POSCAR:
```
YAg2Hg
1.0
-2.526 -1.437 2.068
2.468 -2.418 1.334
1.552 4.264 4.859
Hg Ag Y
1 2 1
Cartesian
0.745 2.047 2.332
0.345 -0.900 2.872
0.036 0.100 0.114
1.143 1.293 5.372
```

(8)
A plane-wave DFT calculation with PBE-GGA was carried out for Y2Ag2Hg after structural relaxation.

- polymorph energy (0 for the lowest one) (meV/atom) = 328.8
- space-group type = I4/mmm (139)

Cell and atoms, written as POSCAR:
```
Y2Ag2Hg
1.0
5.677 0.000 0.000
0.000 5.677 0.000
2.839 2.839 4.095
Y Hg Ag
2 1 2
Cartesian
2.839 5.677 2.048
5.677 2.839 2.048
0.000 0.000 0.000
5.677 5.677 2.834
2.839 2.839 1.261
```

For reference, total moment by record: 0.00 0.00 0.00 0.00 2.29 0.00 0.00 0.00 μB/cell.
For reference, DFT formation energy by record: -2.34 -1.06 -1.65 -0.16 1.19 -0.88 -0.83 -0.30 eV per formula unit.